Dy2ZnC (PBE, relaxed); symmetry = No. 166; DFT formation energy = -11 kJ/mol of formula units
1.0
-2.323 -2.203 1.507
0.023 -3.438 -0.836
4.995 -3.446 6.815
Zn C Dy
1 1 2
Direct
0.000 0.000 0.000
0.500 0.500 0.500
0.117 0.117 0.650
0.883 0.883 0.350